HoTmB2Pd2N2: relaxed, PBE-GGA.

Unit cell a=3.6792 b=3.6792 c=7.5739 alpha=90.00 beta=90.00 gamma=90.00
Closest atoms and distances in Å follow each position.
Positions (direct):
Ho: 0.0000 0.0000 0.0000  1 N 2.26
Tm: 0.5000 0.5000 0.3238  1 N 2.24
B: 0.0000 0.0000 0.4869  1 N 1.43
B: 0.5000 0.5000 0.8384  1 N 1.43
Pd: 0.0000 0.5000 0.6614  4 B 2.27-2.28
Pd: 0.5000 0.0000 0.6614  4 B 2.27-2.28
N: 0.0000 0.0000 0.2983  1 B 1.43
N: 0.5000 0.5000 0.0274  1 B 1.43

Results
Energy   -7.227 eV/atom
Calculated volume   12.8 Å³ per atom
Magnetization   0.00 μB/f.u.
Space-group type   P4mm

=====

YHo2B2Pd2N3: relaxed, PBE-GGA.

Unit cell a=10.4419 b=10.4419 c=10.4419 alpha=159.98 beta=159.98 gamma=28.47
Closest atoms and distances in Å follow each position.
Positions (direct):
Y: 0.0000 0.0000 0.0000  6 N 2.30-2.57
Ho: 0.3817 0.3817 0.0000  5 N 2.39-2.57
Ho: 0.6183 0.6183 0.0000  5 N 2.39-2.57
B: 0.1844 0.1844 0.0000  1 N 1.43
B: 0.8156 0.8156 0.0000  1 N 1.43
Pd: 0.2500 0.7500 0.5000  4 B 2.25
Pd: 0.7500 0.2500 0.5000  4 B 2.25
N: 0.1138 0.1138 0.0000  1 B 1.43
N: 0.5000 0.5000 0.0000  2 Ho 2.39, 4 Y 2.57
N: 0.8862 0.8862 0.0000  1 B 1.43

Results
Energy   -7.594 eV/atom
Calculated volume   13.3 Å³ per atom
Magnetization   0.02 μB/f.u.
Space-group type   I4/mmm

=====

SmHoB2Pt2N2: relaxed, PBE-GGA.

Unit cell a=3.7543 b=3.7543 c=7.6202 alpha=90.00 beta=90.00 gamma=90.00
Closest atoms and distances in Å follow each position.
Positions (direct):
Sm: 0.0000 0.0000 0.0000  1 N 2.33
Ho: 0.5000 0.5000 0.3254  1 N 2.29
B: 0.0000 0.0000 0.4947  1 N 1.44
B: 0.5000 0.5000 0.8350  1 N 1.45
Pt: 0.0000 0.5000 0.6615  4 B 2.27-2.30
Pt: 0.5000 0.0000 0.6615  4 B 2.27-2.30
N: 0.0000 0.0000 0.3059  1 B 1.44
N: 0.5000 0.5000 0.0248  1 B 1.45

Results
Energy   -7.560 eV/atom
Calculated volume   13.4 Å³ per atom
Magnetization   0.00 μB/f.u.
Space-group type   P4mm

=====

TbHoB2Pt2N2: relaxed, PBE-GGA.

Unit cell a=3.7385 b=3.7385 c=7.5685 alpha=90.00 beta=90.00 gamma=90.00
Closest atoms and distances in Å follow each position.
Positions (direct):
Tb: 0.0000 0.0000 0.0000  1 N 2.28
Ho: 0.5000 0.5000 0.3250  1 N 2.27
B: 0.0000 0.0000 0.4918  1 N 1.44
B: 0.5000 0.5000 0.8349  1 N 1.44
Pt: 0.0000 0.5000 0.6622  4 B 2.27-2.28
Pt: 0.5000 0.0000 0.6622  4 B 2.27-2.28
N: 0.0000 0.0000 0.3016  1 B 1.44
N: 0.5000 0.5000 0.0254  1 B 1.44

Results
Energy   -7.565 eV/atom
Calculated volume   13.2 Å³ per atom
Magnetization   0.00 μB/f.u.
Space-group type   P4mm

=====

Ho2Tm2B3N4: relaxed, PBE-GGA.

Unit cell a=3.3294 b=3.4616 c=11.5944 alpha=90.08 beta=98.22 gamma=90.00
Closest atoms and distances in Å follow each position.
Positions (direct):
Ho: 0.1789 0.9997 0.3570  5 N 2.42-2.62, 6 B 2.68-2.70
Ho: 0.8211 0.0003 0.6430  5 N 2.42-2.62, 6 B 2.68-2.70
Tm: 0.4283 0.5003 0.8573  5 N 2.18-2.41
Tm: 0.5717 0.4997 0.1427  5 N 2.18-2.41
B: 0.0000 0.0000 0.0000  2 N 1.48
B: 0.2677 0.5001 0.5356  1 N 1.51
B: 0.7323 0.4999 0.4644  1 N 1.51
N: 0.0651 0.9997 0.1287  1 B 1.48
N: 0.3331 0.5004 0.6669  1 B 1.51
N: 0.6669 0.4996 0.3331  1 B 1.51
N: 0.9349 0.0003 0.8713  1 B 1.48

Results
Energy   -7.717 eV/atom
Calculated volume   12.0 Å³ per atom
Magnetization   0.00 μB/f.u.
Space-group type   P-1

=====

YHoBN2: relaxed, PBE-GGA.

Unit cell a=4.8972 b=4.8963 c=5.9635 alpha=90.00 beta=114.11 gamma=90.00
Closest atoms and distances in Å follow each position.
Positions (direct):
Y: 0.0000 0.0000 0.0000  5 N 2.37-2.45
Y: 0.5000 0.5000 0.0000  5 N 2.37-2.45
Ho: 0.2987 0.0000 0.5918  5 N 2.36-2.45
Ho: 0.7987 0.5000 0.5918  5 N 2.36-2.45
B: 0.1482 0.5000 0.2945  2 N 1.47
B: 0.6482 0.0000 0.2945  2 N 1.47
N: 0.0124 0.5000 0.0245  1 B 1.47
N: 0.2850 0.5000 0.5644  1 B 1.47
N: 0.5124 0.0000 0.0245  1 B 1.47
N: 0.7850 0.0000 0.5644  1 B 1.47

Results
Energy   -7.953 eV/atom
Calculated volume   13.1 Å³ per atom
Magnetization   0.00 μB/f.u.
Space-group type   Cm

=====

NaHoB4: relaxed, PBE-GGA.

Unit cell a=3.1888 b=3.1888 c=8.0312 alpha=90.00 beta=90.00 gamma=120.00
Closest atoms and distances in Å follow each position.
Positions (direct):
Na: 0.0000 0.0000 0.0000  12 B 2.80
Ho: 0.0000 0.0000 0.5000  12 B 2.65
B: 0.3333 0.6667 0.2634  3 B 1.84
B: 0.3333 0.6667 0.7366  3 B 1.84
B: 0.6667 0.3333 0.2634  3 B 1.84
B: 0.6667 0.3333 0.7366  3 B 1.84

Results
Calculated volume   11.8 Å³ per atom
Energy relative to the lowest polymorph listed for this composition   0.019 eV per atom
Magnetization   0.00 μB/f.u.
Space-group type   P6/mmm

=====

NaHoB4: relaxed, PBE-GGA.

Unit cell a=3.1542 b=5.5282 c=7.9197 alpha=90.00 beta=90.00 gamma=90.00
Closest atoms and distances in Å follow each position.
Positions (direct):
Na: 0.0000 0.0000 0.0000  12 B 2.62-2.76
Na: 0.5000 0.5000 0.5000  12 B 2.62-2.76
Ho: 0.0000 0.0000 0.5000  12 B 2.68-2.70
Ho: 0.5000 0.5000 0.0000  12 B 2.68-2.70
B: 0.0000 0.3206 0.2429  2 B 1.76
B: 0.0000 0.3206 0.7571  2 B 1.76
B: 0.0000 0.6794 0.2429  2 B 1.76
B: 0.0000 0.6794 0.7571  2 B 1.76
B: 0.5000 0.1794 0.2571  2 B 1.76
B: 0.5000 0.1794 0.7429  2 B 1.76
B: 0.5000 0.8206 0.2571  2 B 1.76
B: 0.5000 0.8206 0.7429  2 B 1.76

Results
Calculated volume   11.5 Å³ per atom
Energy relative to the lowest polymorph listed for this composition   0.000 eV per atom
Magnetization   0.00 μB/f.u.
Space-group type   Immm

=====

HoNbB4: relaxed, PBE-GGA.

Unit cell a=3.1514 b=3.1514 c=7.2348 alpha=90.00 beta=90.00 gamma=120.00
Closest atoms and distances in Å follow each position.
Positions (direct):
Ho: 0.0000 0.0000 0.0000  12 B 2.66
Nb: 0.0000 0.0000 0.5000  12 B 2.47
B: 0.3333 0.6667 0.2688  3 B 1.82
B: 0.3333 0.6667 0.7312  3 B 1.82
B: 0.6667 0.3333 0.2688  3 B 1.82
B: 0.6667 0.3333 0.7312  3 B 1.82

Results
Energy   -7.654 eV/atom
Calculated volume   10.4 Å³ per atom
Magnetization   0.00 μB/f.u.
Space-group type   P6/mmm

=====

HoNbB: relaxed, PBE-GGA.

Unit cell a=5.9579 b=5.9579 c=5.9579 alpha=90.00 beta=90.00 gamma=90.00
Closest atoms and distances in Å follow each position.
Positions (direct):
Ho: 0.0000 0.0000 0.0000  4 B 2.58
Ho: 0.0000 0.5000 0.5000  4 B 2.58
Ho: 0.5000 0.0000 0.5000  4 B 2.58
Ho: 0.5000 0.5000 0.0000  4 B 2.58
Nb: 0.0000 0.0000 0.5000  4 B 2.58
Nb: 0.0000 0.5000 0.0000  4 B 2.58
Nb: 0.5000 0.0000 0.0000  4 B 2.58
Nb: 0.5000 0.5000 0.5000  4 B 2.58
B: 0.2500 0.2500 0.2500  4 Nb 2.58, 4 Ho 2.58
B: 0.2500 0.7500 0.7500  4 Nb 2.58, 4 Ho 2.58
B: 0.7500 0.2500 0.7500  4 Nb 2.58, 4 Ho 2.58
B: 0.7500 0.7500 0.2500  4 Nb 2.58, 4 Ho 2.58

Results
Calculated volume   17.6 Å³ per atom
Energy relative to the lowest polymorph listed for this composition   0.005 eV per atom
Magnetization   0.00 μB/f.u.
Space-group type   F-43m

=====

HoNbB: relaxed, PBE-GGA.

Unit cell a=3.6064 b=3.6064 c=4.4318 alpha=90.00 beta=90.00 gamma=90.00
Closest atoms and distances in Å follow each position.
Positions (direct):
Ho: 0.0000 0.0000 0.0000  4 B 2.55
Nb: 0.5000 0.5000 0.5000  2 B 2.22
B: 0.5000 0.5000 0.0000  2 Nb 2.22

Results
Calculated volume   19.2 Å³ per atom
Energy relative to the lowest polymorph listed for this composition   0.000 eV per atom
Magnetization   0.06 μB/f.u.
Space-group type   P4/mmm

=====

HoNbB: relaxed, PBE-GGA.

Unit cell a=6.3371 b=6.3371 c=6.3371 alpha=90.00 beta=90.00 gamma=90.00
Closest atoms and distances in Å follow each position.
Positions (direct):
Ho: 0.0000 0.0000 0.0000  4 Nb 2.74, 4 B 2.74
Ho: 0.0000 0.5000 0.5000  4 Nb 2.74, 4 B 2.74
Ho: 0.5000 0.0000 0.5000  4 Nb 2.74, 4 B 2.74
Ho: 0.5000 0.5000 0.0000  4 Nb 2.74, 4 B 2.74
Nb: 0.2500 0.2500 0.2500  4 Ho 2.74
Nb: 0.2500 0.7500 0.7500  4 Ho 2.74
Nb: 0.7500 0.2500 0.7500  4 Ho 2.74
Nb: 0.7500 0.7500 0.2500  4 Ho 2.74
B: 0.2500 0.2500 0.7500  4 Ho 2.74
B: 0.2500 0.7500 0.2500  4 Ho 2.74
B: 0.7500 0.2500 0.2500  4 Ho 2.74
B: 0.7500 0.7500 0.7500  4 Ho 2.74

Results
Calculated volume   21.2 Å³ per atom
Energy relative to the lowest polymorph listed for this composition   1.499 eV per atom
Magnetization   2.94 μB/f.u.
Space-group type   F-43m

=====

- The lowest calculated volume belongs to which entry?
  HoNbB4

=====

- Among the records above, which one has the lowest calculated volume?
  HoNbB4

=====

- Look up the magnetization of the tenth one.
  0.00 μB/f.u.